Density functional theory data (PBE) for a relaxed structure of NaNp4S8.

The structure in CIF format:
```
data_NaNp4S8
_chemical_formula_sum 'Na1 Np4 S8'
_symmetry_space_group_name_H-M 'P 1'
_symmetry_Int_Tables_number 1
_symmetry_space_group_name_Hall 'P 1'
_cell_length_a 8.000
_cell_length_b 8.000
_cell_length_c 7.967
_cell_angle_alpha 104.08
_cell_angle_beta 105.08
_cell_angle_gamma 119.91
loop_
_atom_site_label
_atom_site_type_symbol
_atom_site_fract_x
_atom_site_fract_y
_atom_site_fract_z
_atom_site_occupancy
S1 S 0.700 0.034 0.202 1
S2 S 0.185 0.025 0.209 1
S3 S 0.686 0.505 0.191 1
S4 S 0.169 0.502 0.202 1
S5 S 0.300 0.966 0.798 1
S6 S 0.831 0.498 0.798 1
S7 S 0.314 0.495 0.809 1
S8 S 0.815 0.975 0.791 1
Np1 Np 0.752 0.752 0.000 1
Np2 Np 0.248 0.248 0.000 1
Np3 Np 0.736 0.235 0.970 1
Np4 Np 0.264 0.765 0.030 1
Na1 Na 0.000 0.500 0.500 1
```

Results
D(E_F) in states/eV/atom: 3.005
Formation energy without anion corrections in kJ/mol of atoms: -126
Size of the total moment in μB/f.u.: 13.00
ρ in g/cm3: 5.34
Electronic total energy in eV per atom: -7.927